1.
## PmPr3Ir8 (GGA-PBE)

Data for a relaxed structure of PmPr3Ir8.

a b c (Å): 5.4536 5.4536 9.4367
angles (deg): 73.20 73.20 60.00
Last column: nearest neighbours and their distance in Å.
Fractional positions:
Ir  0.6875  0.6875  0.9375  6 Ir 2.73
Ir  0.9369  0.4373  0.1886  6 Ir 2.72-2.73
Ir  0.9376  0.4383  0.6864  6 Ir 2.72-2.73
Ir  0.1876  0.1876  0.4373  6 Ir 2.72
Ir  0.9376  0.9376  0.6864  6 Ir 2.72-2.73
Ir  0.4383  0.9376  0.6864  6 Ir 2.72-2.73
Ir  0.4373  0.4373  0.1886  6 Ir 2.72-2.73
Ir  0.4373  0.9369  0.1886  6 Ir 2.72-2.73
Pm  0.8750  0.8750  0.3751  12 Ir 3.18-3.20, 4 Pr 3.33-3.34
Pr  0.9998  0.9998  0.0006  12 Ir 3.20-3.21, 1 Pm 3.33, 3 Pr 3.34
Pr  0.3751  0.3751  0.8747  12 Ir 3.20-3.21, 4 Pr 3.34
Pr  0.5001  0.5001  0.4997  12 Ir 3.18-3.20, 1 Pr 3.34, 3 Pm 3.34

Properties
mass density: 15.26 Mg/m³
DOS at the Fermi energy: 9.8 states/eV/cell
energy relative to the elements: -0.678 eV per atom
calculated total energy: -8.177 eV per atom
crystal system: trigonal
size of the total moment: 0.0 μB/f.u.

2.
## Ti5CoSn3 (GGA-PBE)

Data for a relaxed structure of Ti5CoSn3.

a b c (Å): 8.2333 8.2333 5.4566
angles (deg): 90.00 90.00 120.00
Last column: nearest neighbours and their distance in Å.
Fractional positions:
Sn  0.6042  0.0000  0.7500  9 Ti 2.85-2.99
Sn  0.0000  0.3958  0.2500  9 Ti 2.85-2.99
Sn  0.0000  0.6042  0.7500  9 Ti 2.85-2.99
Sn  0.3958  0.3958  0.7500  9 Ti 2.85-2.99
Sn  0.3958  0.0000  0.2500  9 Ti 2.85-2.99
Sn  0.6042  0.6042  0.2500  9 Ti 2.85-2.99
Ti  0.0000  0.2467  0.7500  2 Co 2.45
Ti  0.6667  0.3333  0.5000  2 Ti 2.73, 6 Sn 2.87
Ti  0.2467  0.0000  0.7500  2 Co 2.45
Ti  0.6667  0.3333  0.0000  2 Ti 2.73, 6 Sn 2.87
Ti  0.3333  0.6667  0.5000  2 Ti 2.73, 6 Sn 2.87
Ti  0.7533  0.7533  0.7500  2 Co 2.45
Ti  0.3333  0.6667  0.0000  2 Ti 2.73, 6 Sn 2.87
Ti  0.2467  0.2467  0.2500  2 Co 2.45
Ti  0.0000  0.7533  0.2500  2 Co 2.45
Ti  0.7533  0.0000  0.2500  2 Co 2.45
Co  0.0000  0.0000  0.5000  6 Ti 2.45, 2 Co 2.73
Co  0.0000  0.0000  0.0000  6 Ti 2.45, 2 Co 2.73

Properties
mass density: 6.78 Mg/m³
DOS at the Fermi energy: 20.1 states/eV/cell
energy relative to the elements: -0.376 eV per atom
calculated total energy: -6.886 eV per atom
crystal system: hexagonal
size of the total moment: 0.0 μB/f.u.

3.
## LiNiGe (GGA-PBE)

Data for a relaxed structure of LiNiGe.

a b c (Å): 3.9474 3.9474 5.9126
angles (deg): 90.00 90.00 90.00
Last column: nearest neighbours and their distance in Å.
Fractional positions:
Ni  0.5000  0.5000  0.5000  4 Ge 2.36
Ni  0.0000  0.0000  0.5000  4 Ge 2.36
Li  0.0000  0.5000  0.8193  5 Ge 2.73-2.85, 4 Ni 2.73
Li  0.5000  0.0000  0.1807  5 Ge 2.73-2.85, 4 Ni 2.73
Ge  0.0000  0.5000  0.2805  4 Ni 2.36
Ge  0.5000  0.0000  0.7195  4 Ni 2.36

Properties
mass density: 4.98 Mg/m³
DOS at the Fermi energy: 2.8 states/eV/cell
energy relative to the elements: -0.346 eV per atom
calculated total energy: -4.450 eV per atom
crystal system: tetragonal
size of the total moment: 0.0 μB/f.u.